Computed, not measured: a geometry-optimized La2CdW structure at the GGA-PBE level of DFT.

Properties
The calculation puts the formation energy at 14.775 kcal/mol of atoms.

Cell lengths 8.4175, 8.4175, 6.1973 Å; angles 90.00, 90.00, 90.00 degrees
Space group I-42d (No. 122)
Asymmetric unit:
La  0.2019  0.2500  0.1250 (multiplicity 8)
Cd  0.0000  0.0000  0.5000 (multiplicity 4)
W  0.0000  0.0000  0.0000 (multiplicity 4)



Computed, not measured: a geometry-optimized ReSiHgSb2 structure at the GGA-PBE level of DFT.

Properties
As for the uncorrected formation energy: 1.464 eV/atom.

Cell lengths 5.2473, 5.2473, 4.8192 Å; angles 90.00, 90.00, 90.00 degrees
Space group P4/mmm (No. 123)
Asymmetric unit:
Re  0.0000  0.0000  0.0000 (multiplicity 1)
Si  0.5000  0.5000  0.5000 (multiplicity 1)
Hg  0.5000  0.5000  0.0000 (multiplicity 1)
Sb  0.0000  0.5000  0.5000 (multiplicity 2)



Table of DOS at the Fermi energy (states/eV/f.u.), in record order: 3.57, 3.47